P) This record from Alexandria via LeMat-Bulk describes a geometry-optimized KFe3Tc structure. The functional is PBE-GGA.

a b c (Å): 4.4026 4.4026 4.4026
angles (deg): 90.00 90.00 90.00
With the nearest neighbours (Å) after each atom.
Fractional coordinates of all 5 atoms:
Fe (0.5000, 0.0000, 0.0000)  2 K 2.20
K (0.0000, 0.0000, 0.0000)  6 Fe 2.20
Fe (0.0000, 0.0000, 0.5000)  2 K 2.20
Tc (0.5000, 0.5000, 0.5000)  12 Fe 3.11
Fe (0.0000, 0.5000, 0.0000)  2 K 2.20

Values from the calculation:
- Magnetic moment: 2.1165 μB/atom

---

Q) This record from Alexandria via LeMat-Bulk describes a geometry-optimized KFe3Tc structure. The functional is PBE-GGA.

a b c (Å): 4.7123 4.7123 4.7123
angles (deg): 90.00 90.00 90.00
With the nearest neighbours (Å) after each atom.
Fractional coordinates of all 5 atoms:
Tc (0.0000, 0.0000, 0.0000)  6 Fe 2.36
Fe (0.5000, 0.0000, 0.0000)  2 Tc 2.36
Fe (0.0000, 0.5000, 0.0000)  2 Tc 2.36
K (0.5000, 0.5000, 0.5000)  12 Fe 3.33
Fe (0.0000, 0.0000, 0.5000)  2 Tc 2.36

Values from the calculation:
- Magnetic moment: 1.5437 μB/atom

---

Name the most stable of them. Q).